# 1
LiAc2RhAu GGA-PBE optimized geometry; total magnetization = 0.00 μB per formula unit; crystal system = monoclinic; energy of formation from the pure elements = -0.608 eV/atom
1.0
4.4074 0.0000 0.0000
0.0000 8.1742 0.3421
0.0000 -3.0388 7.2805
Ac Au Li Rh
4 2 2 2
direct
0.7500 0.7196 0.0391 Ac
0.2500 0.2804 0.9609 Ac
0.2500 0.1122 0.3561 Ac
0.7500 0.8878 0.6439 Ac
0.2500 0.6614 0.3308 Au
0.7500 0.3386 0.6692 Au
0.2500 0.5558 0.6489 Li
0.7500 0.4442 0.3511 Li
0.2500 0.8833 0.8971 Rh
0.7500 0.1167 0.1029 Rh



# 2
LiAcSb2Au4 GGA-PBE optimized geometry; total magnetization = 0.00 μB per formula unit; crystal system = trigonal; uncorrected formation energy = -0.501 eV/atom
1.0
4.8345 0.0000 0.0000
2.4172 4.1868 0.0000
2.4172 1.3956 8.9130
Au Li Ac Sb
4 1 1 2
direct
0.8616 0.8616 0.4152 Au
0.3969 0.3969 0.8094 Au
0.6031 0.6031 0.1906 Au
0.1384 0.1384 0.5848 Au
0.5000 0.5000 0.5000 Li
0.0000 0.0000 0.0000 Ac
0.2440 0.2440 0.2680 Sb
0.7560 0.7560 0.7320 Sb



# 3
Li3Ac2Sb4Au GGA-PBE optimized geometry; total magnetization = 0.00 μB per formula unit; crystal system = tetragonal; uncorrected formation energy = -0.775 eV/atom
1.0
4.7890 0.0000 0.0000
0.0000 4.7890 0.0000
0.0000 0.0000 10.8734
Ac Li Sb Au
2 3 4 1
direct
0.5000 0.0000 0.2465 Ac
0.0000 0.5000 0.7535 Ac
0.0000 0.0000 0.5000 Li
0.0000 0.5000 0.1160 Li
0.5000 0.0000 0.8840 Li
0.5000 0.0000 0.6438 Sb
0.0000 0.5000 0.3562 Sb
0.5000 0.5000 0.0000 Sb
0.0000 0.0000 0.0000 Sb
0.5000 0.5000 0.5000 Au



> What is the total magnetization in the second record?

0.00 μB per formula unit